Record 1
First-principles (PBE) data for a relaxed NdTcP2Ir crystal, as listed in Alexandria.

V   17.0 A^3/atom
ΔH_f (0 K)   -90.70 kJ/mol of atoms

Unit cell a=4.106 b=4.106 c=5.827 alpha=110.63 beta=110.63 gamma=90.00
Positions (direct):
1 Nd 0.000 0.000 0.000
2 P 0.631 0.631 0.263
3 P 0.369 0.369 0.737
4 Tc 0.750 0.250 0.500
5 Ir 0.250 0.750 0.500



Record 2
First-principles (PBE) data for a relaxed Nd4Te2PIr crystal, as listed in Alexandria.

V   29.3 A^3/atom
E   -0.22839 hartree per atom

Unit cell a=4.262 b=7.486 c=7.738 alpha=108.23 beta=90.00 gamma=90.00
Positions (direct):
1 Te 0.500 0.000 0.500
2 Te 0.000 0.500 0.500
3 Nd 0.500 0.757 0.788
4 Nd 0.500 0.243 0.212
5 Nd 0.000 0.734 0.211
6 Nd 0.000 0.266 0.789
7 Ir 0.500 0.500 0.000
8 P 0.000 0.000 0.000



Record 3
First-principles (PBE) data for a relaxed Nd6Te3PIr2 crystal, as listed in Alexandria.

V   29.3 A^3/atom
E   -0.23116 hartree per atom

Unit cell a=4.266 b=8.933 c=9.883 alpha=106.39 beta=102.46 gamma=90.00
Positions (direct):
1 Te 0.837 0.161 0.673
2 Te 0.163 0.839 0.327
3 Te 0.500 0.500 0.000
4 Nd 0.988 0.765 0.976
5 Nd 0.012 0.235 0.024
6 Nd 0.339 0.886 0.678
7 Nd 0.676 0.565 0.351
8 Nd 0.324 0.435 0.649
9 Nd 0.661 0.114 0.322
10 Ir 0.833 0.664 0.666
11 Ir 0.167 0.336 0.334
12 P 0.500 0.000 0.000



Record 4
First-principles (PBE) data for a relaxed Nd2TiP3Ir4 crystal, as listed in Alexandria.

V   17.3 A^3/atom
ΔH_f (0 K)   -93.82 kJ/mol of atoms

Unit cell a=4.070 b=4.070 c=10.421 alpha=90.00 beta=90.00 gamma=90.00
Positions (direct):
1 P 0.000 0.500 0.134
2 P 0.500 0.000 0.866
3 P 0.000 0.000 0.500
4 Nd 0.000 0.500 0.760
5 Nd 0.500 0.000 0.240
6 Ir 0.500 0.500 0.000
7 Ir 0.500 0.000 0.639
8 Ir 0.000 0.500 0.361
9 Ir 0.000 0.000 0.000
10 Ti 0.500 0.500 0.500



Record 5
First-principles (PBE) data for a relaxed NdZn2PIr2 crystal, as listed in Alexandria.

V   18.9 A^3/atom
ΔH_f (0 K)   -35.08 kJ/mol of atoms

Unit cell a=4.498 b=4.498 c=5.594 alpha=90.00 beta=90.00 gamma=90.00
Positions (direct):
1 Zn 0.500 0.500 0.726
2 Zn 0.500 0.500 0.274
3 Ir 0.000 0.500 0.000
4 Ir 0.500 0.000 0.000
5 Nd 0.000 0.000 0.500
6 P 0.000 0.000 0.000



Record 6
First-principles (PBE) data for a relaxed Nd2ZnP3Ir4 crystal, as listed in Alexandria.

V   17.1 A^3/atom
ΔH_f (0 K)   -83.85 kJ/mol of atoms

Unit cell a=4.128 b=4.128 c=10.025 alpha=90.00 beta=90.00 gamma=90.00
Positions (direct):
1 Ir 0.500 0.500 0.000
2 Ir 0.000 0.000 0.000
3 Ir 0.000 0.500 0.365
4 Ir 0.500 0.000 0.635
5 Nd 0.500 0.000 0.253
6 Nd 0.000 0.500 0.747
7 P 0.000 0.500 0.136
8 P 0.000 0.000 0.500
9 P 0.500 0.000 0.864
10 Zn 0.500 0.500 0.500



Record 7
First-principles (PBE) data for a relaxed NdPaIr2 crystal, as listed in Alexandria.

V   23.8 A^3/atom
ΔH_f (0 K)   -73.13 kJ/mol of atoms
Polymorph energy (0 for the lowest one)   0.080 eV per atom

Unit cell a=3.994 b=3.994 c=7.260 alpha=74.04 beta=74.04 gamma=60.00
Positions (direct):
1 Nd 0.500 0.500 0.500
2 Pa 0.000 0.000 0.000
3 Ir 0.742 0.742 0.775
4 Ir 0.258 0.258 0.225



Record 8
First-principles (PBE) data for a relaxed NdPaIr2 crystal, as listed in Alexandria.

V   23.9 A^3/atom
ΔH_f (0 K)   -67.47 kJ/mol of atoms
Polymorph energy (0 for the lowest one)   0.139 eV per atom

Unit cell a=3.922 b=3.922 c=7.524 alpha=74.89 beta=74.89 gamma=60.00
Positions (direct):
1 Ir 0.075 0.075 0.774
2 Ir 0.259 0.259 0.224
3 Nd 0.497 0.497 0.508
4 Pa 0.669 0.669 0.994